(1)
A plane-wave DFT calculation with GGA-PBE was carried out for a relaxed Ni7Au crystal.

Cell lengths 5.124, 5.124, 5.124 Å; angles 60.00, 60.00, 60.00 degrees
Sites, in units of the cell vectors:
Ni: 0.000 0.000 0.000
Ni: 0.000 0.000 0.500
Ni: 0.000 0.500 0.000
Ni: 0.000 0.500 0.500
Ni: 0.500 0.000 0.000
Ni: 0.500 0.000 0.500
Ni: 0.500 0.500 0.000
Au: 0.500 0.500 0.500

## Properties
Energy relative to the elements: 0.088 eV/atom
VASP energy: -5.38 eV/atom
Space-group type: Fm-3m
Calculated volume: 11.9 A^3/atom

***

(2)
A plane-wave DFT calculation with GGA-PBE was carried out for a relaxed NiAu crystal.

Cell lengths 2.834, 2.916, 7.038 Å; angles 90.00, 90.00, 90.00 degrees
Sites, in units of the cell vectors:
Ni: 0.250 0.250 0.092
Ni: 0.750 0.750 0.908
Au: 0.250 0.250 0.656
Au: 0.750 0.750 0.344

## Properties
Energy relative to the elements: 0.091 eV/atom
VASP energy: -4.44 eV/atom
Space-group type: Pmmn
Calculated volume: 14.5 A^3/atom

***

(3)
A plane-wave DFT calculation with GGA-PBE was carried out for a relaxed NiAu crystal.

Cell lengths 3.733, 3.733, 5.659 Å; angles 90.00, 90.00, 120.00 degrees
Sites, in units of the cell vectors:
Ni: 0.333 0.667 0.250
Ni: 0.667 0.333 0.750
Au: 0.000 0.000 0.000
Au: 0.000 0.000 0.500

## Properties
Energy relative to the elements: 0.487 eV/atom
VASP energy: -4.04 eV/atom
Space-group type: P6_3/mmc
Calculated volume: 17.1 A^3/atom

***

(4)
A plane-wave DFT calculation with GGA-PBE was carried out for a relaxed Ni5Au4 crystal.

Cell lengths 6.061, 6.061, 6.061 Å; angles 95.82, 95.82, 142.85 degrees
Sites, in units of the cell vectors:
Ni: 0.000 0.000 0.000
Ni: 0.344 0.344 0.687
Ni: 0.344 0.656 0.000
Ni: 0.656 0.344 0.000
Ni: 0.656 0.656 0.313
Au: 0.000 0.317 0.317
Au: 0.000 0.683 0.683
Au: 0.317 0.000 0.317
Au: 0.683 0.000 0.683

## Properties
Energy relative to the elements: 0.112 eV/atom
VASP energy: -4.56 eV/atom
Space-group type: I4/mmm
Calculated volume: 14.2 A^3/atom

***

(5)
A plane-wave DFT calculation with GGA-PBE was carried out for a relaxed NiAu crystal.

Cell lengths 4.598, 4.598, 4.598 Å; angles 35.63, 35.63, 35.63 degrees
Sites, in units of the cell vectors:
Ni: 0.000 0.000 0.000
Au: 0.500 0.500 0.500

## Properties
Energy relative to the elements: 0.188 eV/atom
VASP energy: -4.34 eV/atom
Space-group type: R-3m
Calculated volume: 14.7 A^3/atom

***

(6)
A plane-wave DFT calculation with GGA-PBE was carried out for a relaxed NiAu crystal.

Cell lengths 3.599, 3.599, 3.599 Å; angles 60.00, 60.00, 60.00 degrees
Sites, in units of the cell vectors:
Ni: 0.000 0.000 0.000
Au: 0.500 0.500 0.500

## Properties
Energy relative to the elements: 0.504 eV/atom
VASP energy: -4.03 eV/atom
Space-group type: Fm-3m
Calculated volume: 16.5 A^3/atom